No. 1
## Na3Th3TiSe8 (GGA-PBE)

Data for Na3Th3TiSe8 after structural relaxation.

Calculated values
- raw formation energy (eV per atom) = -1.4390

a = 8.222 Å, b = 8.221 Å, c = 8.652 Å
α = 118.39°, β = 90.00°, γ = 120.00°
Each line ends with the local moment (μB).
Fractional coordinates of all 15 atoms:
Na: 0.500 0.500 0.000  0.00
Na: 0.000 0.500 0.000  0.00
Na: 0.000 0.000 0.000  0.00
Se: 0.769 0.008 0.278  -0.01
Se: 0.750 0.499 0.748  0.00
Se: 0.250 0.501 0.252  0.00
Se: 0.231 0.462 0.722  -0.01
Se: 0.239 0.008 0.278  -0.01
Se: 0.769 0.538 0.278  -0.01
Se: 0.231 0.992 0.722  -0.01
Se: 0.761 0.992 0.722  -0.01
Th: 0.500 0.000 0.500  0.10
Th: 0.500 0.500 0.500  0.10
Th: 0.000 0.500 0.500  0.10
Ti: 0.000 0.000 0.500  1.22

=====

No. 2
## MnTeP2 (GGA-PBE)

Data for MnTeP2 after structural relaxation.

Calculated values
- raw formation energy (eV per atom) = 0.0066

a = 3.753 Å, b = 3.753 Å, c = 7.982 Å
α = 106.20°, β = 106.20°, γ = 45.67°
Each line ends with the local moment (μB).
Fractional coordinates of all 4 atoms:
Te: 0.750 0.750 0.750  0.02
P: 0.596 0.596 0.391  -0.02
P: 0.904 0.904 0.109  -0.02
Mn: 0.250 0.250 0.250  0.70

=====

No. 3
## GaNiSe2N (GGA-PBE)

Data for GaNiSe2N after structural relaxation.

Calculated values
- raw formation energy (eV per atom) = 0.9710
- energy relative to the lowest polymorph listed for this composition (meV/atom) = 576.9

a = 5.134 Å, b = 5.134 Å, c = 3.571 Å
α = 90.00°, β = 90.00°, γ = 90.00°
Each line ends with the local moment (μB).
Fractional coordinates of all 5 atoms:
Ni: 0.500 0.500 0.500  0.72
Se: 0.500 0.000 0.000  0.20
Se: 0.000 0.500 0.000  0.20
Ga: 0.000 0.000 0.000  0.01
N: 0.000 0.000 0.500  0.82

=====

No. 4
## CoSiTc (GGA-PBE)

Data for CoSiTc after structural relaxation.

Calculated values
- raw formation energy (eV per atom) = -0.2575
- energy relative to the lowest polymorph listed for this composition (meV/atom) = 13.9

a = 4.953 Å, b = 4.953 Å, c = 4.953 Å
α = 146.66°, β = 146.65°, γ = 47.88°
Each line ends with the local moment (μB).
Fractional coordinates of all 3 atoms:
Tc: 0.673 0.673 0.000  0.18
Si: 0.344 0.344 0.000  -0.01
Co: 0.982 0.982 0.000  0.71

=====

No. 5
## Tb2ZnCd8 (GGA-PBE)

Data for Tb2ZnCd8 after structural relaxation.

Calculated values
- final energy (eV per atom) = -1.820

a = 4.593 Å, b = 4.593 Å, c = 12.304 Å
α = 90.00°, β = 90.00°, γ = 90.00°
Fractional coordinates of all 11 atoms:
Cd: 0.000 0.500 0.126
Cd: 0.500 0.000 0.874
Cd: 0.500 0.000 0.126
Cd: 0.000 0.500 0.500
Cd: 0.000 0.500 0.874
Cd: 0.500 0.000 0.500
Cd: 0.500 0.500 0.694
Cd: 0.500 0.500 0.306
Zn: 0.000 0.000 0.000
Tb: 0.000 0.000 0.692
Tb: 0.000 0.000 0.308

=====

No. 6
## RbAsO3 (GGA-PBE)

Data for RbAsO3 after structural relaxation.

Calculated values
- raw formation energy (eV per atom) = -1.3342

a = 3.147 Å, b = 5.180 Å, c = 5.180 Å
α = 91.46°, β = 90.00°, γ = 90.00°
Fractional coordinates of all 5 atoms:
Rb: 0.000 0.577 0.423
As: 0.500 0.036 0.964
O: 0.500 0.119 0.279
O: 0.000 0.175 0.825
O: 0.500 0.721 0.881

=====

No. 7
## HfSc3Ga (GGA-PBE)

Data for HfSc3Ga after structural relaxation.

Calculated values
- energy relative to the lowest polymorph listed for this composition (meV/atom) = 0.0

a = 5.056 Å, b = 5.056 Å, c = 5.056 Å
α = 90.00°, β = 90.00°, γ = 90.00°
Each line ends with the local moment (μB).
Fractional coordinates of all 5 atoms:
Sc: 0.000 0.000 0.500  0.19
Sc: 0.000 0.500 0.000  0.11
Sc: 0.500 0.000 0.000  0.12
Hf: 0.500 0.500 0.500  0.51
Ga: 0.000 0.000 0.000  0.00

=====

No. 8
## K2AgBrF6 (GGA-PBE)

Data for K2AgBrF6 after structural relaxation.

Calculated values
- raw formation energy (eV per atom) = -1.7211

a = 5.480 Å, b = 6.576 Å, c = 6.627 Å
α = 66.92°, β = 65.59°, γ = 91.74°
Fractional coordinates of all 10 atoms:
F: 0.676 0.543 0.185
F: 0.831 0.889 0.390
F: 0.629 0.218 0.016
F: 0.169 0.111 0.610
F: 0.371 0.782 0.984
F: 0.324 0.457 0.815
K: 0.292 0.809 0.442
K: 0.708 0.191 0.558
Br: 0.500 0.500 0.000
Ag: 0.000 0.000 0.000

=====

No. 9
## CaYSi2Pt5 (GGA-PBE)

Data for CaYSi2Pt5 after structural relaxation.

Calculated values
- raw formation energy (eV per atom) = -0.9013

a = 4.060 Å, b = 4.060 Å, c = 11.392 Å
α = 90.00°, β = 90.00°, γ = 90.00°
Fractional coordinates of all 9 atoms:
Pt: 0.500 0.500 0.500
Pt: 0.000 0.500 0.813
Pt: 0.500 0.000 0.187
Pt: 0.500 0.000 0.813
Pt: 0.000 0.500 0.187
Y: 0.000 0.000 0.000
Si: 0.500 0.500 0.295
Si: 0.500 0.500 0.705
Ca: 0.000 0.000 0.500

=====

No. 10
## Cd3AgBr (GGA-PBE)

Data for Cd3AgBr after structural relaxation.

Calculated values
- raw formation energy (eV per atom) = -0.0070
- energy relative to the lowest polymorph listed for this composition (meV/atom) = 0.0

a = 5.373 Å, b = 5.373 Å, c = 5.373 Å
α = 90.00°, β = 90.00°, γ = 90.00°
Fractional coordinates of all 5 atoms:
Cd: 0.000 0.500 0.000
Cd: 0.500 0.000 0.000
Cd: 0.000 0.000 0.500
Br: 0.500 0.500 0.500
Ag: 0.000 0.000 0.000

=====

No. 11
## KRhBr2 (GGA-PBE)

Data for KRhBr2 after structural relaxation.

Calculated values
- raw formation energy (eV per atom) = -0.4583
- energy relative to the lowest polymorph listed for this composition (meV/atom) = 158.3

a = 6.841 Å, b = 6.841 Å, c = 5.325 Å
α = 99.77°, β = 99.77°, γ = 32.35°
Each line ends with the local moment (μB).
Fractional coordinates of all 4 atoms:
K: 0.496 0.496 0.527  0.00
Br: 0.773 0.773 0.589  0.04
Br: 0.030 0.030 0.042  0.02
Rh: 0.201 0.201 0.342  0.44

=====

No. 12
## SiB2Mo2Ru5 (GGA-PBE)

Data for SiB2Mo2Ru5 after structural relaxation.

Calculated values
- raw formation energy (eV per atom) = -0.4066

a = 2.883 Å, b = 9.276 Å, c = 9.276 Å
α = 90.00°, β = 90.00°, γ = 90.00°
Fractional coordinates of all 20 atoms:
Mo: 0.000 0.679 0.179
Mo: 0.000 0.321 0.821
Mo: 0.000 0.821 0.679
Mo: 0.000 0.179 0.321
Ru: 0.500 0.063 0.790
Ru: 0.500 0.000 0.500
Ru: 0.500 0.563 0.710
Ru: 0.500 0.500 0.000
Ru: 0.500 0.937 0.210
Ru: 0.500 0.437 0.290
Ru: 0.500 0.290 0.563
Ru: 0.500 0.710 0.437
Ru: 0.500 0.210 0.063
Ru: 0.500 0.790 0.937
Si: 0.000 0.000 0.000
Si: 0.000 0.500 0.500
B: 0.000 0.374 0.126
B: 0.000 0.126 0.626
B: 0.000 0.874 0.374
B: 0.000 0.626 0.874